# 1
{
  "formula": "YTaTc2",
  "functional": "PBE",
  "state": "relaxed",
  "cell": [[5.630, -0.002, -0.007], [-2.647, 4.633, 0.002], [0.336, 0.902, 2.745]],
  "species": ["Tc", "Tc", "Ta", "Y"],
  "frac_coords": [[0.000, 0.000, 0.000], [0.500, 0.000, 0.500], [0.500, 0.500, 0.000], [0.000, 0.500, 0.500]],
  "ef_ev_per_atom": 0.20,
  "dos_at_fermi_per_ev_cell": 3.82,
  "e_tot_ry_per_atom": -0.702,
  "total_magnetization_mub_per_fu": 0.00
}


# 2
{
  "formula": "LiTbAl2Au2",
  "functional": "PBE",
  "state": "relaxed",
  "cell": [[4.480, 0.000, 0.000], [-2.240, 3.879, 0.000], [0.000, 0.000, 6.524]],
  "species": ["Au", "Au", "Al", "Al", "Li", "Tb"],
  "frac_coords": [[0.667, 0.333, 0.771], [0.333, 0.667, 0.229], [0.333, 0.667, 0.813], [0.667, 0.333, 0.187], [0.000, 0.000, 0.000], [0.000, 0.000, 0.500]],
  "ef_ev_per_atom": -0.67,
  "dos_at_fermi_per_ev_cell": 3.86,
  "e_tot_ry_per_atom": -0.301,
  "total_magnetization_mub_per_fu": 0.00
}


# 3
{
  "formula": "ScTeAs",
  "functional": "PBE",
  "state": "relaxed",
  "cell": [[-2.616, -2.095, 0.992], [1.982, -0.859, -2.748], [4.602, -3.637, 4.456]],
  "species": ["As", "Sc", "Te"],
  "frac_coords": [[0.000, 0.000, 0.064], [0.667, 0.333, 0.321], [0.333, 0.667, 0.615]],
  "dos_at_fermi_per_ev_cell": 2.66,
  "e_tot_ry_per_atom": -0.381,
  "total_magnetization_mub_per_fu": 0.00,
  "raw_formation_energy_kcal_per_mol_atoms": -11.02
}


# 4
{
  "formula": "Cr2SbRh",
  "functional": "PBE",
  "state": "relaxed",
  "cell": [[3.082, 0.000, 0.000], [0.000, 3.674, 0.000], [0.000, 0.000, 5.638]],
  "species": ["Sb", "Cr", "Cr", "Rh"],
  "frac_coords": [[0.500, 0.500, 0.733], [0.500, 0.500, 0.221], [0.000, 0.000, 0.036], [0.000, 0.000, 0.511]],
  "dos_at_fermi_per_ev_cell": 3.13,
  "e_tot_ry_per_atom": -0.557,
  "total_magnetization_mub_per_fu": 0.05,
  "raw_formation_energy_kcal_per_mol_atoms": 2.28
}


# 5
{
  "formula": "ScFeH2N",
  "functional": "PBE",
  "state": "relaxed",
  "cell": [[3.248, 0.000, 0.000], [0.000, 3.248, 0.000], [0.000, 0.000, 3.792]],
  "species": ["N", "H", "H", "Fe", "Sc"],
  "frac_coords": [[0.000, 0.000, 0.500], [0.500, 0.000, 0.000], [0.000, 0.500, 0.000], [0.000, 0.000, 0.000], [0.500, 0.500, 0.500]],
  "dos_at_fermi_per_ev_cell": 2.25,
  "e_tot_ry_per_atom": -0.483,
  "total_magnetization_mub_per_fu": 0.90
}


# 6
{
  "formula": "Zn2TcCl",
  "functional": "PBE",
  "state": "relaxed",
  "cell": [[-0.920, -2.290, 1.372], [3.388, -2.315, -1.594], [2.771, 1.291, 4.015]],
  "species": ["Tc", "Cl", "Zn", "Zn"],
  "frac_coords": [[0.000, 0.500, 0.500], [0.500, 0.000, 0.500], [0.000, 0.000, 0.000], [0.500, 0.500, 0.000]],
  "dos_at_fermi_per_ev_cell": 2.75,
  "e_tot_ry_per_atom": -0.239,
  "polymorph_energy_ev_per_atom": 0.3960,
  "total_magnetization_mub_per_fu": 0.91,
  "raw_formation_energy_kcal_per_mol_atoms": 10.08
}